(1)
PBE Er2TmIn3S6, relaxed; symmetry = C2/m, No. 12; crystal system = monoclinic; formation energy from raw total energies = -1.405 eV per atom
1.0
3.4211 -5.9255 0.0000
3.4211 5.9255 0.0000
-2.2818 0.0000 7.5163
Er Tm In S
2 1 3 6
Direct
0.1667 0.8333 0.0000
0.8333 0.1667 0.0000
0.5000 0.5000 0.0000
0.0000 0.0000 0.5000
0.3332 0.6668 0.5000
0.6668 0.3332 0.5000
0.1016 0.4337 0.8012
0.2343 0.2343 0.1992
0.4337 0.1016 0.8012
0.5663 0.8984 0.1988
0.7657 0.7657 0.8008
0.8984 0.5663 0.1988


(2)
PBE KCrS2, relaxed; symmetry = R3m, No. 160; crystal system = trigonal; formation energy from raw total energies = -0.927 eV per atom
1.0
1.8287 1.0558 7.1472
-1.8287 1.0558 7.1472
0.0000 -2.1116 7.1472
K Cr S
1 1 2
Direct
0.0000 0.0000 0.0000
0.1687 0.1687 0.1687
0.5601 0.5601 0.5601
0.7767 0.7767 0.7767


(3)
PBE RbHf2TeO8, relaxed; symmetry = C2/m, No. 12; crystal system = monoclinic; formation energy from raw total energies = -2.074 eV per atom
1.0
3.5233 -3.3762 0.0000
3.5233 3.3762 0.0000
-0.0081 0.0000 7.0541
Rb Hf Te O
1 2 1 8
Direct
0.0000 0.0000 0.0000
0.5002 0.5002 0.2637
0.4998 0.4998 0.7363
0.0000 0.0000 0.5000
0.2030 0.7957 0.3092
0.2043 0.7970 0.6908
0.2888 0.2888 0.5001
0.3546 0.3546 0.9997
0.6454 0.6454 0.0003
0.7112 0.7112 0.4999
0.7957 0.2030 0.3092
0.7970 0.2043 0.6908


(4)
PBE Zr2Tc, relaxed; DFT formation energy = 0.7083 eV/atom; symmetry = Fd-3m, No. 227; crystal system = cubic
1.0
0.0000 3.9219 3.9219
3.9219 0.0000 3.9219
3.9219 3.9219 0.0000
Zr Tc
4 2
Direct
0.0000 0.0000 0.0000
0.0000 0.0000 0.5000
0.0000 0.5000 0.0000
0.5000 0.0000 0.0000
0.3750 0.3750 0.3750
0.6250 0.6250 0.6250


no.,VASP energy (eV/atom),V (A^3/atom)
1,-5.287,25.39
2,-5.671,20.70
3,-7.381,13.99
4,-8.446,20.11